No. 1
VASP calculation (GGA-PBE) on a relaxed structure of La4DyAu5.

Lattice parameters (Å, degrees): 3.7110 3.7110 19.0472 90.00 90.00 90.00
Fractional coordinates of all 10 atoms:
La1 0.0000 0.0000 0.1018
La2 0.0000 0.0000 0.3056
La3 0.0000 0.0000 0.6944
La4 0.0000 0.0000 0.8982
Dy1 0.0000 0.0000 0.5000
Au1 0.5000 0.5000 0.0000
Au2 0.5000 0.5000 0.2034
Au3 0.5000 0.5000 0.4127
Au4 0.5000 0.5000 0.5873
Au5 0.5000 0.5000 0.7966

Calculated values
Crystal system ... tetragonal
E ... -48.64 eV/f.u.

=====

No. 2
VASP calculation (GGA-PBE) on a relaxed structure of La2DyAu.

Lattice parameters (Å, degrees): 10.3977 10.3977 10.3977 21.29 21.29 21.29
Fractional coordinates of all 4 atoms:
La1 0.0000 0.0000 0.0000
La2 0.1886 0.1886 0.1886
Dy1 0.7620 0.7620 0.7620
Au1 0.5937 0.5937 0.5937

Calculated values
Relative energy among the computed polymorphs ... 148 meV per atom
Crystal system ... trigonal

=====

No. 3
VASP calculation (GGA-PBE) on a relaxed structure of La2DyAu3.

Lattice parameters (Å, degrees): 5.2183 16.0235 3.6920 90.00 90.00 90.00
Fractional coordinates of all 12 atoms:
La1 0.2500 0.0812 0.0033
La2 0.2500 0.4188 0.0033
La3 0.7500 0.5812 0.9967
La4 0.7500 0.9188 0.9967
Dy1 0.2500 0.7500 0.9979
Dy2 0.7500 0.2500 0.0021
Au1 0.2500 0.2500 0.5036
Au2 0.2500 0.5979 0.4979
Au3 0.2500 0.9021 0.4979
Au4 0.7500 0.0979 0.5021
Au5 0.7500 0.4021 0.5021
Au6 0.7500 0.7500 0.4964

Calculated values
Crystal system ... orthorhombic
E ... -29.08 eV/f.u.

=====

No. 4
VASP calculation (GGA-PBE) on a relaxed structure of La3DyAu2.

Lattice parameters (Å, degrees): 5.1737 9.4806 7.2361 90.00 90.00 90.00
Fractional coordinates of all 12 atoms:
La1 0.0000 0.0765 0.0000
La2 0.0000 0.3380 0.3482
La3 0.0000 0.6620 0.8482
La4 0.0000 0.9235 0.5000
La5 0.5000 0.1646 0.6585
La6 0.5000 0.8354 0.1585
Dy1 0.5000 0.4279 0.0079
Dy2 0.5000 0.5721 0.5079
Au1 0.0000 0.3518 0.7771
Au2 0.0000 0.6482 0.2771
Au3 0.5000 0.1618 0.2321
Au4 0.5000 0.8382 0.7321

Calculated values
Crystal system ... orthorhombic
E ... -29.30 eV/f.u.

=====

No. 5
VASP calculation (GGA-PBE) on a relaxed structure of La2Dy3Au2.

Lattice parameters (Å, degrees): 6.7793 6.7793 9.3431 115.91 115.91 32.45
Fractional coordinates of all 7 atoms:
La1 0.1533 0.1533 0.3155
La2 0.8467 0.8467 0.6845
Dy1 0.3845 0.3845 0.0540
Dy2 0.5000 0.5000 0.5000
Dy3 0.6155 0.6155 0.9460
Au1 0.1634 0.1634 0.7368
Au2 0.8366 0.8366 0.2632

Calculated values
Crystal system ... monoclinic
E ... -33.73 eV/f.u.

=====

No. 6
VASP calculation (GGA-PBE) on a relaxed structure of La2DyAu.

Lattice parameters (Å, degrees): 11.5485 11.5485 11.5485 17.93 17.93 17.93
Fractional coordinates of all 4 atoms:
La1 0.0978 0.0978 0.0978
La2 0.9022 0.9022 0.9022
Dy1 0.0000 0.0000 0.0000
Au1 0.5000 0.5000 0.5000

Calculated values
Relative energy among the computed polymorphs ... 356 meV per atom
Crystal system ... trigonal

=====

No. 7
VASP calculation (GGA-PBE) on a relaxed structure of La2Dy2Au3.

Lattice parameters (Å, degrees): 7.9080 7.9080 7.9080 109.47 109.47 109.47
Fractional coordinates of all 14 atoms:
La1 0.0000 0.1477 0.5000
La2 0.1477 0.5000 0.0000
La3 0.3523 0.3523 0.3523
La4 0.5000 0.0000 0.1477
Dy1 0.0000 0.6362 0.5000
Dy2 0.5000 0.0000 0.6362
Dy3 0.6362 0.5000 0.0000
Dy4 0.8638 0.8638 0.8638
Au1 0.1059 0.8559 0.2500
Au2 0.2500 0.1059 0.8559
Au3 0.3941 0.6441 0.7500
Au4 0.6441 0.7500 0.3941
Au5 0.7500 0.3941 0.6441
Au6 0.8559 0.2500 0.1059

Calculated values
Crystal system ... cubic
E ... -33.50 eV/f.u.

=====

No. 8
VASP calculation (GGA-PBE) on a relaxed structure of LiLaDy2Au4.

Lattice parameters (Å, degrees): 9.0352 9.0352 9.0352 32.17 32.17 32.17
Fractional coordinates of all 8 atoms:
Li1 0.0000 0.0000 0.0000
La1 0.5000 0.5000 0.5000
Dy1 0.2637 0.2637 0.2637
Dy2 0.7363 0.7363 0.7363
Au1 0.1077 0.1077 0.1077
Au2 0.3789 0.3789 0.3789
Au3 0.6211 0.6211 0.6211
Au4 0.8923 0.8923 0.8923

Calculated values
Crystal system ... trigonal
E ... -35.17 eV/f.u.

=====

No. 9
VASP calculation (GGA-PBE) on a relaxed structure of LaDyMgAu.

Lattice parameters (Å, degrees): 5.3348 5.3348 5.3348 60.00 60.00 60.00
Fractional coordinates of all 4 atoms:
La1 0.0000 0.0000 0.0000
Dy1 0.5000 0.5000 0.5000
Mg1 0.7500 0.7500 0.7500
Au1 0.2500 0.2500 0.2500

Calculated values
Crystal system ... cubic
E ... -15.91 eV/f.u.

=====

No. 10
VASP calculation (GGA-PBE) on a relaxed structure of LaDyAu2O8.

Lattice parameters (Å, degrees): 6.5650 6.5650 6.5650 129.19 129.19 74.71
Fractional coordinates of all 12 atoms:
La1 0.0000 0.0000 0.0000
Dy1 0.7500 0.2500 0.5000
Au1 0.2500 0.7500 0.5000
Au2 0.5000 0.5000 0.0000
O1 0.0815 0.0362 0.6903
O2 0.1259 0.3544 0.5648
O3 0.3459 0.3912 0.3097
O4 0.4389 0.8741 0.2285
O5 0.6088 0.9185 0.9546
O6 0.6456 0.2104 0.7715
O7 0.7896 0.5611 0.4352
O8 0.9638 0.6541 0.0454

Calculated values
E_form (uncorrected) ... -1188 meV per atom
Crystal system ... tetragonal

=====

Sequential density of states at the Fermi level output: 0.7765, 1.1927, 0.8453, 0.9605, 1.3321, 1.5227, 1.1810, 0.5831, 0.7671, 0.2133 states/eV per atom